Entry 1:
Cu2PdPt2 | Alexandria | GGA-PBE | optimized geometry; DOS(E_F) = 4.7 states/eV/cell; energy above the lowest structure with this stoichiometry = 0 meV per atom
1.0
-0.2804 1.0188 2.5399
-1.5387 -2.1588 0.6960
7.1208 -5.8105 3.1167
Cu Pd Pt
2 1 2
direct
0.5000 0.4051 0.1898
0.5000 0.5949 0.8102
0.0000 0.0000 0.0000
0.0000 0.1896 0.6208
0.0000 0.8104 0.3792

Entry 2:
CuPd4Pt5 | Alexandria | GGA-PBE | optimized geometry; DOS(E_F) = 20.4 states/eV/cell; energy above the lowest structure with this stoichiometry = 0 meV per atom
1.0
-0.6597 -0.0832 2.7009
2.3706 -1.3523 0.5373
9.1471 17.1323 2.7620
Cu Pd Pt
1 4 5
direct
0.0000 0.0000 0.0000
0.0000 0.0000 0.1946
0.0000 0.0000 0.3984
0.0000 0.0000 0.6016
0.0000 0.0000 0.8054
0.5000 0.5000 0.0922
0.5000 0.5000 0.2967
0.5000 0.5000 0.5000
0.5000 0.5000 0.7033
0.5000 0.5000 0.9078

Entry 3:
CuPd3Pt | Alexandria | GGA-PBE | optimized geometry; DOS(E_F) = 6.0 states/eV/cell; energy above the lowest structure with this stoichiometry = 929 meV per atom
1.0
-4.2115 1.6007 0.0725
-0.4675 -1.0325 -4.3611
-1.5326 -4.0836 1.1311
Cu Pd Pt
1 3 1
direct
0.0000 0.0000 0.0000
0.0000 0.5000 0.0000
0.0000 0.0000 0.5000
0.5000 0.0000 0.0000
0.5000 0.5000 0.5000

Entry 4:
Cu2PdPt7 | Alexandria | GGA-PBE | optimized geometry; raw total energy = -5.07 eV/atom; DOS(E_F) = 17.4 states/eV/cell
1.0
-3.3121 2.3548 0.2036
-2.6848 -3.2483 -6.1062
-1.3776 -2.5287 6.8376
Cu Pd Pt
2 1 7
direct
0.5000 0.6944 0.3056
0.5000 0.3056 0.6944
0.0000 0.0000 0.0000
0.0000 0.8007 0.1993
0.0000 0.1993 0.8007
0.5000 0.0790 0.2974
0.5000 0.9210 0.7026
0.5000 0.2974 0.0790
0.5000 0.7026 0.9210
0.5000 0.5000 0.5000

Entry 5:
Cu4Pd5Pt | Alexandria | GGA-PBE | optimized geometry; raw total energy = -4.93 eV/atom; DOS(E_F) = 12.0 states/eV/cell
1.0
2.9400 0.0000 0.0000
0.0000 2.9400 0.0000
0.0000 0.0000 16.3114
Cu Pd Pt
4 5 1
direct
0.0000 0.0000 0.2093
0.0000 0.0000 0.4030
0.0000 0.0000 0.5970
0.0000 0.0000 0.7907
0.5000 0.5000 0.1123
0.5000 0.5000 0.3060
0.5000 0.5000 0.5000
0.5000 0.5000 0.6940
0.5000 0.5000 0.8877
0.0000 0.0000 0.0000

Entry 6:
Cu5Pd12Pt2 | Alexandria | GGA-PBE | optimized geometry; raw total energy = -4.79 eV/atom; DOS(E_F) = 25.9 states/eV/cell
1.0
5.4081 0.0000 0.0000
-2.7040 7.3560 0.3519
0.0000 -2.1942 7.6120
Cu Pd Pt
5 12 2
direct
0.2691 0.5381 0.5540
0.3756 0.7512 0.1148
0.0000 0.0000 0.5000
0.6244 0.2488 0.8852
0.7309 0.4619 0.4460
0.0957 0.1913 0.2900
0.0392 0.5805 0.8610
0.5413 0.5805 0.8610
0.1219 0.7336 0.3818
0.6116 0.7336 0.3818
0.4554 0.9109 0.6853
0.5446 0.0891 0.3147
0.8781 0.2664 0.6182
0.3884 0.2664 0.6182
0.9608 0.4195 0.1390
0.4587 0.4195 0.1390
0.9043 0.8087 0.7100
0.7546 0.0000 0.0000
0.2454 0.0000 0.0000

Entry 7:
CuPd8Pt2 | Alexandria | GGA-PBE | optimized geometry; DOS(E_F) = 20.7 states/eV/cell; energy above the lowest structure with this stoichiometry = 227 meV per atom
1.0
4.5902 1.0692 0.0000
1.8765 6.8277 0.0000
0.9383 3.4138 6.0838
Cu Pd Pt
1 8 2
direct
0.5000 0.0000 0.0000
0.8627 0.0988 0.2248
0.8627 0.3236 0.7752
0.3127 0.3928 0.0000
0.5000 0.7926 0.4149
0.5000 0.2074 0.5851
0.6873 0.6072 0.0000
0.1373 0.6764 0.2248
0.1373 0.9012 0.7752
0.0000 0.3058 0.3884
0.0000 0.6942 0.6116

Entry 8:
Cu2Pd5Pt2 | Alexandria | GGA-PBE | optimized geometry; DOS(E_F) = 25.6 states/eV/cell; energy above the lowest structure with this stoichiometry = 174 meV per atom
1.0
-3.4021 -5.3732 -1.2800
5.2842 -3.5942 1.0430
-4.2798 1.2810 5.9975
Cu Pd Pt
4 10 4
direct
0.6280 0.8735 0.0000
0.3720 0.1265 0.0000
0.1280 0.6265 0.0000
0.8720 0.3735 0.0000
0.0000 0.0000 0.0000
0.5000 0.5000 0.0000
0.8262 0.8018 0.2573
0.1738 0.4555 0.2573
0.3262 0.9555 0.2573
0.6738 0.3018 0.2573
0.1738 0.1982 0.7427
0.8262 0.5445 0.7427
0.6738 0.0445 0.7427
0.3262 0.6982 0.7427
0.0000 0.2140 0.4280
0.5000 0.7140 0.4280
0.0000 0.7860 0.5720
0.5000 0.2860 0.5720

Entry 9:
Cu2Pd5Pt2 | Alexandria | GGA-PBE | optimized geometry; DOS(E_F) = 29.9 states/eV/cell; energy above the lowest structure with this stoichiometry = 0 meV per atom
1.0
-1.1845 -6.1237 -3.3844
6.3394 -1.0425 0.1294
-2.4459 2.5332 7.9708
Cu Pd Pt
4 10 4
direct
0.9944 0.5739 0.9977
0.4781 0.4220 0.9672
0.6324 0.9305 0.4207
0.3386 0.5267 0.6323
0.7617 0.8075 0.0892
0.2624 0.7432 0.9360
0.9248 0.3250 0.1591
0.0830 0.1534 0.8579
0.7380 0.7956 0.7448
0.2208 0.0526 0.2138
0.5851 0.2190 0.6963
0.4164 0.4957 0.2862
0.0697 0.1368 0.5174
0.9070 0.6603 0.4525
0.8299 0.3965 0.6120
0.2355 0.7831 0.4063
0.4202 0.9762 0.8077
0.6020 0.1741 0.2029

Entry 10:
CuPd3Pt12 | Alexandria | GGA-PBE | optimized geometry; raw total energy = -5.82 eV/atom; DOS(E_F) = 26.7 states/eV/cell
1.0
3.9367 0.0000 0.0000
0.0000 3.9367 0.0000
0.0000 0.0000 15.9271
Cu Pd Pt
1 3 12
direct
0.0000 0.0000 0.0000
0.0000 0.0000 0.2479
0.0000 0.0000 0.5000
0.0000 0.0000 0.7521
0.5000 0.5000 0.0000
0.5000 0.5000 0.2469
0.5000 0.5000 0.5000
0.5000 0.5000 0.7531
0.5000 0.0000 0.1205
0.5000 0.0000 0.3740
0.5000 0.0000 0.6260
0.5000 0.0000 0.8795
0.0000 0.5000 0.1205
0.0000 0.5000 0.3740
0.0000 0.5000 0.6260
0.0000 0.5000 0.8795

Entry 11:
CuPdPt2 | Alexandria | GGA-PBE | optimized geometry; DOS(E_F) = 5.7 states/eV/cell; energy above the lowest structure with this stoichiometry = 12 meV per atom
1.0
-1.5859 -1.8550 1.2683
1.1421 -1.9123 1.6134
-0.9330 4.2882 8.0874
Cu Pd Pt
1 1 2
direct
0.6669 0.6669 0.9993
0.4998 0.4998 0.5007
0.0788 0.0788 0.7635
0.2545 0.2545 0.2364

Entry 12:
Cu2Pd7Pt2 | Alexandria | GGA-PBE | optimized geometry; DOS(E_F) = 13.0 states/eV/cell; energy above the lowest structure with this stoichiometry = 83 meV per atom
1.0
7.0751 0.2366 0.3414
-0.5802 5.3023 -0.5585
-0.5802 -2.3850 4.7685
Cu Pd Pt
2 7 2
direct
0.5000 0.2561 0.7439
0.5000 0.7439 0.2561
0.1795 0.9768 0.4381
0.8205 0.5619 0.0232
0.8205 0.0232 0.5619
0.1795 0.4381 0.9768
0.0000 0.0000 0.0000
0.5691 0.7799 0.7799
0.4309 0.2201 0.2201
0.8124 0.4330 0.4330
0.1876 0.5670 0.5670

Entry 13:
Cu3Pd2Pt6 | Alexandria | GGA-PBE | optimized geometry; raw total energy = -5.37 eV/atom; DOS(E_F) = 14.3 states/eV/cell
1.0
6.9156 -2.1858 0.4690
-2.2863 5.3033 1.9044
3.3146 3.4551 7.6684
Cu Pd Pt
3 2 6
direct
0.0000 0.0000 0.0000
0.0002 0.6651 0.3346
0.9998 0.3349 0.6654
0.7630 0.6037 0.9109
0.2370 0.3963 0.0891
0.2540 0.7522 0.7470
0.4958 0.1707 0.8297
0.7460 0.2478 0.2530
0.5042 0.8293 0.1703
0.7500 0.9157 0.5820
0.2500 0.0843 0.4180

Entry 14:
Cu2Pd3Pt2 | Alexandria | GGA-PBE | optimized geometry; DOS(E_F) = 10.9 states/eV/cell; energy above the lowest structure with this stoichiometry = 13 meV per atom
1.0
2.6988 0.0000 0.0000
0.0000 6.5035 -0.6768
-1.3494 -2.7605 6.2438
Cu Pd Pt
2 3 2
direct
0.5609 0.9017 0.1219
0.4391 0.0983 0.8781
0.0000 0.5000 0.0000
0.2173 0.7974 0.4346
0.7827 0.2026 0.5654
0.8590 0.6808 0.7180
0.1410 0.3192 0.2820

Entry 15:
Cu7PdPt4 | Alexandria | GGA-PBE | optimized geometry; DOS(E_F) = 6.2 states/eV/cell; energy above the lowest structure with this stoichiometry = 0 meV per atom
1.0
-1.0954 -1.3575 2.0843
2.4630 -0.6843 -0.9233
10.7525 16.5409 16.4245
Cu Pd Pt
7 1 4
direct
0.0000 0.0000 0.0000
0.3333 0.6667 0.4165
0.6667 0.3333 0.5835
0.3333 0.6667 0.1697
0.6667 0.3333 0.8303
0.0000 0.0000 0.7533
0.0000 0.0000 0.2467
0.0000 0.0000 0.5000
0.3333 0.6667 0.9154
0.6667 0.3333 0.0846
0.3333 0.6667 0.6682
0.6667 0.3333 0.3318

Entry 16:
Cu2Pd5Pt3 | Alexandria | GGA-PBE | optimized geometry; DOS(E_F) = 35.7 states/eV/cell; energy above the lowest structure with this stoichiometry = 328 meV per atom
1.0
5.3289 0.0000 0.0000
2.6644 7.8586 -1.8417
2.6644 0.3098 8.0655
Cu Pd Pt
4 10 6
direct
0.1086 0.7441 0.0386
0.8914 0.2559 0.9614
0.6086 0.0386 0.7441
0.3914 0.9614 0.2559
0.2500 0.5000 0.5000
0.7500 0.5000 0.5000
0.4966 0.7534 0.7534
0.0034 0.2466 0.2466
0.5034 0.2466 0.2466
0.9966 0.7534 0.7534
0.1428 0.5197 0.1948
0.8572 0.4803 0.8052
0.6428 0.1948 0.5197
0.3572 0.8052 0.4803
0.2500 0.0000 0.0000
0.7500 0.0000 0.0000
0.3644 0.4536 0.8176
0.6356 0.5464 0.1824
0.8644 0.8176 0.4536
0.1356 0.1824 0.5464

Entry 17:
CuPd7Pt2 | Alexandria | GGA-PBE | optimized geometry; raw total energy = -4.97 eV/atom; DOS(E_F) = 17.5 states/eV/cell
1.0
-1.1846 1.6444 1.7674
0.6922 -6.2034 6.2357
6.2008 6.0918 -1.5118
Cu Pd Pt
1 7 2
direct
0.0000 0.0000 0.0000
0.0000 0.8160 0.1840
0.0000 0.1840 0.8160
0.5000 0.1321 0.3117
0.5000 0.8679 0.6883
0.5000 0.3117 0.1321
0.5000 0.6883 0.8679
0.5000 0.5000 0.5000
0.5000 0.6707 0.3293
0.5000 0.3293 0.6707

Entry 18:
CuPdPt2 | Alexandria | GGA-PBE | optimized geometry; DOS(E_F) = 7.4 states/eV/cell; energy above the lowest structure with this stoichiometry = 8 meV per atom
1.0
-0.2469 0.5340 2.7020
2.5817 -0.9003 0.4138
2.6724 7.1282 -1.1644
Cu Pd Pt
1 1 2
direct
0.5000 0.5000 0.0000
0.5000 0.5000 0.5000
0.0000 0.0000 0.7636
0.0000 0.0000 0.2364

Entry 19:
Cu3Pd8Pt2 | Alexandria | GGA-PBE | optimized geometry; raw total energy = -4.98 eV/atom; DOS(E_F) = 19.2 states/eV/cell
1.0
-2.4240 0.1202 4.0588
7.8189 0.5453 4.6534
-4.9788 4.4388 -1.0820
Cu Pd Pt
3 8 2
direct
0.5000 0.0000 0.0000
0.0000 0.2486 0.0000
0.0000 0.7514 0.0000
0.2063 0.5681 0.1362
0.7937 0.4319 0.8638
0.9531 0.1439 0.2878
0.0469 0.8561 0.7122
0.6582 0.5966 0.6852
0.6582 0.0886 0.6852
0.3418 0.9114 0.3148
0.3418 0.4034 0.3148
0.3752 0.2876 0.5752
0.6248 0.7124 0.4248

Entry 20:
Cu3PdPt12 | Alexandria | GGA-PBE | optimized geometry; raw total energy = -5.73 eV/atom; DOS(E_F) = 16.1 states/eV/cell
1.0
3.9039 0.0000 0.0000
0.0000 3.9039 0.0000
0.0000 0.0000 15.7862
Cu Pd Pt
3 1 12
direct
0.0000 0.0000 0.2529
0.0000 0.0000 0.5000
0.0000 0.0000 0.7471
0.0000 0.0000 0.0000
0.5000 0.5000 0.0000
0.5000 0.5000 0.2529
0.5000 0.5000 0.5000
0.5000 0.5000 0.7471
0.5000 0.0000 0.1295
0.5000 0.0000 0.3762
0.5000 0.0000 0.6238
0.5000 0.0000 0.8705
0.0000 0.5000 0.1295
0.0000 0.5000 0.3762
0.0000 0.5000 0.6238
0.0000 0.5000 0.8705